Record 1
A relaxed SmMg3Cd9 crystal, computed with PBE.

Results
calculated formation energy	-2.1	eV per formula unit
space group	C2/m (12)

abc: 7.6188 7.6188 7.5865
angles: 98.94 98.94 133.53
Element x y z (fractional)
Sm 0.0000 0.0000 0.0000
Mg 0.0000 0.0000 0.5000
Mg 0.0000 0.5000 0.0000
Mg 0.5000 0.0000 0.0000
Cd 0.0052 0.6562 0.6547
Cd 0.2789 0.4944 0.7864
Cd 0.3438 0.9948 0.3453
Cd 0.4944 0.2789 0.7864
Cd 0.5000 0.5000 0.5000
Cd 0.5056 0.7211 0.2136
Cd 0.6562 0.0052 0.6547
Cd 0.7211 0.5056 0.2136
Cd 0.9948 0.3438 0.3453

***

Record 2
A relaxed NiRh2Br crystal, computed with PBE.

Results
formation energy (no corrections)	0.568	eV/atom
E above lowest polymorph	214.3	meV/atom
space group	Cm (8)

abc: 9.2699 2.9909 4.5365
angles: 90.00 108.01 90.00
Element x y z (fractional)
Ni 0.0000 0.0000 0.0000
Ni 0.5000 0.5000 0.0000
Rh 0.2611 0.0000 0.8430
Rh 0.4825 0.0000 0.5128
Rh 0.7611 0.5000 0.8430
Rh 0.9825 0.5000 0.5128
Br 0.2131 0.5000 0.3199
Br 0.7131 0.0000 0.3199

***

Record 3
A relaxed CsKCd2I6 crystal, computed with PBE.

Results
formation energy (no corrections)	-0.964	eV/atom
space group	C2/c (15)

abc: 10.9857 10.9857 10.8212
angles: 98.11 98.11 109.01
Element x y z (fractional)
Cs 0.0520 0.9480 0.7500
Cs 0.9480 0.0520 0.2500
K 0.4731 0.5269 0.2500
K 0.5269 0.4731 0.7500
Cd 0.1669 0.4782 0.5443
Cd 0.4782 0.1669 0.0443
Cd 0.5218 0.8331 0.9557
Cd 0.8331 0.5218 0.4557
I 0.0066 0.5663 0.6988
I 0.1890 0.2371 0.5826
I 0.2371 0.1890 0.0826
I 0.3389 0.5897 0.9557
I 0.4103 0.6611 0.5443
I 0.4337 0.9934 0.8012
I 0.5663 0.0066 0.1988
I 0.5897 0.3389 0.4557
I 0.6611 0.4103 0.0443
I 0.7629 0.8110 0.9174
I 0.8110 0.7629 0.4174
I 0.9934 0.4337 0.3012

***

The volume results, record by record, are as follows: 22.6; 15.0; 59.9 Å³ per atom.